(1)
# InSeF

A relaxed InSeF crystal (PBE-GGA, Alexandria via LeMat-Bulk).

Lattice parameters (Å, degrees): 6.9204 3.9482 7.6889 69.53 122.03 80.09
Element x y z (fractional)
1 In 0.2929 0.4808 0.7493
2 In 0.7026 0.5159 0.2552
3 Se 0.6061 0.8297 0.8319
4 Se 0.3894 0.1671 0.1726
5 F 0.0114 0.1555 0.6359
6 F 0.9841 0.8413 0.3686

Values from the calculation:
Final energy, eV per cell: -24.523
Total magnetic moment, μB/f.u.: 0.0
Formation energy from raw total energies, meV per atom: -1389
Crystal system: triclinic

(2)
# KLaCu2

A relaxed KLaCu2 crystal (PBE-GGA, Alexandria via LeMat-Bulk).

Lattice parameters (Å, degrees): 3.4662 3.4656 9.0641 90.00 90.00 90.00
Element x y z (fractional)
1 Cu 0.0000 0.0000 0.0630
2 Cu 0.5000 0.5000 0.1578
3 K 0.0000 0.0000 0.4282
4 La 0.5000 0.5000 0.8510

Values from the calculation:
Final energy, eV per cell: -13.391
Total magnetic moment, μB/f.u.: 0.0
Crystal system: tetragonal

(3)
# HRhCl2

A relaxed HRhCl2 crystal (PBE-GGA, Alexandria via LeMat-Bulk).

Lattice parameters (Å, degrees): 4.3882 4.3882 4.3882 60.00 60.00 60.00
Element x y z (fractional)
1 H 0.0000 0.0000 0.0000
2 Rh 0.5000 0.5000 0.5000
3 Cl 0.2500 0.2500 0.2500
4 Cl 0.7500 0.7500 0.7500

Values from the calculation:
Final energy, eV per cell: -11.508
Total magnetic moment, μB/f.u.: 2.4
Crystal system: cubic

(4)
# La2Tb2Pr4Dy

A relaxed La2Tb2Pr4Dy crystal (PBE-GGA, Alexandria via LeMat-Bulk).

Lattice parameters (Å, degrees): 3.7077 9.7713 9.8321 115.18 90.00 100.94
Element x y z (fractional)
1 La 0.3344 0.6689 0.0019
2 La 0.6656 0.3311 0.9981
3 Tb 0.8517 0.7034 0.3327
4 Tb 0.1483 0.2966 0.6673
5 Pr 0.8144 0.6288 0.6672
6 Pr 0.1856 0.3712 0.3328
7 Pr 0.5182 0.0363 0.3344
8 Pr 0.4818 0.9637 0.6656
9 Dy 0.0000 0.0000 0.0000

Values from the calculation:
Final energy, eV per cell: -42.746
Total magnetic moment, μB/f.u.: 0.0
Crystal system: monoclinic